Ba3ReSe | PBE | optimized geometry

Geometry as POSCAR:
```
Ba3ReSe
1.0
5.807 0.000 0.000
0.000 5.807 0.000
0.000 0.000 5.807
Ba Se Re
3 1 1
Direct
0.000 0.000 0.500 Ba
0.500 0.000 0.000 Ba
0.000 0.500 0.000 Ba
0.500 0.500 0.500 Se
0.000 0.000 0.000 Re
```

The calculation puts the offset from the most stable computed form at 0 meV/atom. For the density of states at the Fermi level, the calculation gives 2.38 states/eV per cell. Its spin magnetization is 0.000 μB per atom. The uncorrected energy is -4.218 eV per atom.

***

BaRe2Se | PBE | optimized geometry

Geometry as POSCAR:
```
BaRe2Se
1.0
3.116 -0.006 0.000
-1.458 2.754 0.000
0.000 0.000 9.402
Ba Re Se
1 2 1
Direct
0.500 0.500 0.750 Ba
0.000 0.000 0.452 Re
0.000 0.000 0.048 Re
0.500 0.500 0.250 Se
```

For the density of states at the Fermi level, the calculation gives 4.16 states/eV per cell. Its spin magnetization is 0.000 μB per atom. The uncorrected energy is -6.217 eV per atom.

***

BaRe2Se | PBE | optimized geometry

Geometry as POSCAR:
```
BaRe2Se
1.0
4.931 0.000 0.000
0.000 4.931 0.000
2.466 2.466 8.794
Ba Re Se
2 4 2
Direct
0.000 0.000 0.000 Ba
0.750 0.250 0.500 Ba
0.375 0.625 0.750 Re
0.875 0.625 0.750 Re
0.375 0.125 0.250 Re
0.375 0.625 0.250 Re
0.250 0.750 0.500 Se
0.500 0.500 0.000 Se
```

For the density of states at the Fermi level, the calculation gives 12.06 states/eV per cell. Its spin magnetization is 0.006 μB per atom. The uncorrected energy is -6.934 eV per atom.

***

Ba2ReSe | PBE | optimized geometry

Geometry as POSCAR:
```
Ba2ReSe
1.0
-2.501 2.965 -0.292
-0.605 -0.890 -3.738
-6.237 -5.043 2.210
Re Se Ba
1 1 2
Direct
0.500 0.500 0.250 Re
0.500 0.500 0.750 Se
0.000 0.000 0.514 Ba
0.000 0.000 0.986 Ba
```

For the density of states at the Fermi level, the calculation gives 3.84 states/eV per cell. Its spin magnetization is 0.628 μB per atom. The uncorrected energy is -4.778 eV per atom.

***

BaRe2Se | PBE | optimized geometry

Geometry as POSCAR:
```
BaRe2Se
1.0
-5.216 -0.900 3.375
-0.291 -2.220 5.865
2.951 4.204 -3.609
Re Ba Se
2 1 1
Direct
0.000 0.000 0.000 Re
0.500 0.500 0.000 Re
0.750 0.250 0.500 Ba
0.250 0.750 0.500 Se
```

For the density of states at the Fermi level, the calculation gives 4.40 states/eV per cell. Its spin magnetization is 0.000 μB per atom. The uncorrected energy is -6.335 eV per atom.

***

Ba2ReSe | PBE | optimized geometry

Geometry as POSCAR:
```
Ba2ReSe
1.0
-3.881 -0.301 -5.143
-1.811 -4.160 -4.585
-3.500 -1.395 3.335
Ba Re Se
2 1 1
Direct
0.011 0.011 0.108 Ba
0.738 0.738 0.648 Ba
0.455 0.455 0.565 Re
0.296 0.296 0.179 Se
```

For the density of states at the Fermi level, the calculation gives 3.19 states/eV per cell. Its spin magnetization is 0.750 μB per atom. The uncorrected energy is -4.843 eV per atom.

***

Ba2ReSe | PBE | optimized geometry

Geometry as POSCAR:
```
Ba2ReSe
1.0
-0.757 4.746 -5.077
-5.732 3.843 -1.121
5.131 -1.997 4.309
Ba Re Se
2 1 1
Direct
0.722 0.222 0.500 Ba
0.003 0.003 0.000 Ba
0.456 0.456 0.000 Re
0.319 0.819 0.500 Se
```

For the density of states at the Fermi level, the calculation gives 3.72 states/eV per cell. Its spin magnetization is 0.236 μB per atom. The uncorrected energy is -4.844 eV per atom.

***

BaRe2Se | PBE | optimized geometry

Geometry as POSCAR:
```
BaRe2Se
1.0
3.130 0.000 0.000
0.000 4.851 0.000
0.000 0.000 5.643
Re Ba Se
2 1 1
Direct
0.000 0.000 0.000 Re
0.500 0.500 0.000 Re
0.000 0.500 0.500 Ba
0.500 0.000 0.500 Se
```

For the density of states at the Fermi level, the calculation gives 3.95 states/eV per cell. Its spin magnetization is 0.002 μB per atom. The uncorrected energy is -6.443 eV per atom.